(1)
Entry from Alexandria via LeMat-Bulk: an optimized crystal structure of MgGa3N (GGA-PBEsol).

abc: 5.0183 5.0183 5.0183
angles: 90.00 90.00 90.00
Last column: nearest neighbours and their distance in Å.
Sites, in units of the cell vectors:
Ga (0.5000, 0.0000, 0.0000)  2 Mg 2.51
Ga (0.0000, 0.0000, 0.5000)  2 Mg 2.51
Ga (0.0000, 0.5000, 0.0000)  2 Mg 2.51
Mg (0.0000, 0.0000, 0.0000)  6 Ga 2.51
N (0.5000, 0.5000, 0.5000)  12 Ga 3.55

- DOS(E_F) (states/eV per cell) = 2.65
- SG = No. 221

=====

(2)
Entry from Alexandria via LeMat-Bulk: an optimized crystal structure of MgGa3N (GGA-PBEsol).

abc: 4.3453 4.3453 4.3453
angles: 90.00 90.00 90.00
Last column: nearest neighbours and their distance in Å.
Sites, in units of the cell vectors:
Ga (0.0000, 0.5000, 0.0000)  2 N 2.17
Ga (0.0000, 0.0000, 0.5000)  2 N 2.17
Ga (0.5000, 0.0000, 0.0000)  2 N 2.17
Mg (0.5000, 0.5000, 0.5000)  12 Ga 3.07
N (0.0000, 0.0000, 0.0000)  6 Ga 2.17

- DOS(E_F) (states/eV per cell) = 1.30
- SG = No. 221

=====

Relative to the most stable one, in eV/atom, the structures come out at (1) 1.207; (2) 0.000.

=====

(1)
Entry from Alexandria via LeMat-Bulk: an optimized crystal structure of Mg2Ga2Pb (GGA-PBEsol).

abc: 3.2376 8.0792 8.0792
angles: 90.00 90.00 90.00
Last column: nearest neighbours and their distance in Å.
Sites, in units of the cell vectors:
Ga (0.0000, 0.8843, 0.6157)  1 Ga 2.64, 6 Mg 2.84-2.94
Ga (0.0000, 0.6157, 0.1157)  1 Ga 2.64, 6 Mg 2.84-2.94
Ga (0.0000, 0.3843, 0.8843)  1 Ga 2.64, 6 Mg 2.84-2.94
Ga (0.0000, 0.1157, 0.3843)  1 Ga 2.64, 6 Mg 2.84-2.94
Mg (0.5000, 0.8196, 0.3196)  6 Ga 2.84-2.94
Mg (0.5000, 0.6804, 0.8196)  6 Ga 2.84-2.94
Mg (0.5000, 0.1804, 0.6804)  6 Ga 2.84-2.94
Mg (0.5000, 0.3196, 0.1804)  6 Ga 2.84-2.94
Pb (0.0000, 0.0000, 0.0000)  2 Pb 3.24, 4 Ga 3.24, 8 Mg 3.38
Pb (0.0000, 0.5000, 0.5000)  2 Pb 3.24, 4 Ga 3.24, 8 Mg 3.38

- DOS(E_F) (states/eV per cell) = 3.64
- SG = No. 127

=====

(2)
Entry from Alexandria via LeMat-Bulk: an optimized crystal structure of Mg2Ga2Pb (GGA-PBEsol).

abc: 4.3669 4.3669 6.6277
angles: 109.24 109.24 90.00
Last column: nearest neighbours and their distance in Å.
Sites, in units of the cell vectors:
Ga (0.6029, 0.6029, 0.2058)  1 Ga 2.41
Ga (0.3971, 0.3971, 0.7942)  1 Ga 2.41
Pb (0.0000, 0.0000, 0.0000)  8 Ga 3.32, 8 Mg 3.66
Mg (0.2500, 0.7500, 0.5000)  4 Ga 2.78, 4 Mg 3.09
Mg (0.7500, 0.2500, 0.5000)  4 Ga 2.78, 4 Mg 3.09

- DOS(E_F) (states/eV per cell) = 1.93
- SG = No. 139

=====

Relative to the most stable one, in eV/atom, the structures come out at (1) 0.000; (2) 0.063.

=====

(1)
Entry from Alexandria via LeMat-Bulk: an optimized crystal structure of MgGa2Rh2 (GGA-PBEsol).

abc: 2.9319 7.1280 7.1280
angles: 90.00 90.00 90.00
Last column: nearest neighbours and their distance in Å.
Sites, in units of the cell vectors:
Rh (0.0000, 0.1472, 0.3528)  6 Ga 2.52-2.57, 2 Mg 2.72
Rh (0.0000, 0.3528, 0.8528)  6 Ga 2.52-2.57, 2 Mg 2.72
Rh (0.0000, 0.8528, 0.6472)  6 Ga 2.52-2.57, 2 Mg 2.72
Rh (0.0000, 0.6472, 0.1472)  6 Ga 2.52-2.57, 2 Mg 2.72
Ga (0.5000, 0.1497, 0.6497)  6 Rh 2.52-2.57
Ga (0.5000, 0.3503, 0.1497)  6 Rh 2.52-2.57
Ga (0.5000, 0.6497, 0.8503)  6 Rh 2.52-2.57
Ga (0.5000, 0.8503, 0.3503)  6 Rh 2.52-2.57
Mg (0.0000, 0.5000, 0.5000)  4 Rh 2.72, 2 Mg 2.93
Mg (0.0000, 0.0000, 0.0000)  4 Rh 2.72, 2 Mg 2.93

- DOS(E_F) (states/eV per cell) = 2.61
- SG = No. 127

=====

(2)
Entry from Alexandria via LeMat-Bulk: an optimized crystal structure of MgGa2Rh2 (GGA-PBEsol).

abc: 4.1562 4.1562 5.6772
angles: 111.47 111.47 90.00
Last column: nearest neighbours and their distance in Å.
Sites, in units of the cell vectors:
Rh (0.7500, 0.2500, 0.5000)  4 Ga 2.41
Rh (0.2500, 0.7500, 0.5000)  4 Ga 2.41
Ga (0.6246, 0.6246, 0.2492)  4 Rh 2.41, 1 Ga 2.42
Ga (0.3754, 0.3754, 0.7508)  4 Rh 2.41, 1 Ga 2.42
Mg (0.0000, 0.0000, 0.0000)  8 Ga 3.18, 8 Rh 3.20

- DOS(E_F) (states/eV per cell) = 0.92
- SG = No. 139

=====

Relative to the most stable one, in eV/atom, the structures come out at (1) 0.000; (2) 0.197.

=====

(1)
Entry from Alexandria via LeMat-Bulk: an optimized crystal structure of Mg2Ga2Sn (GGA-PBEsol).

abc: 3.1694 8.0049 8.0049
angles: 90.00 90.00 90.00
Last column: nearest neighbours and their distance in Å.
Sites, in units of the cell vectors:
Sn (0.0000, 0.0000, 0.0000)  2 Sn 3.17, 4 Ga 3.21, 8 Mg 3.34
Sn (0.0000, 0.5000, 0.5000)  2 Sn 3.17, 4 Ga 3.21, 8 Mg 3.34
Mg (0.5000, 0.8192, 0.3192)  6 Ga 2.78-2.91
Mg (0.5000, 0.3192, 0.1808)  6 Ga 2.78-2.91
Mg (0.5000, 0.1808, 0.6808)  6 Ga 2.78-2.91
Mg (0.5000, 0.6808, 0.8192)  6 Ga 2.78-2.91
Ga (0.0000, 0.3830, 0.8830)  1 Ga 2.65, 6 Mg 2.78-2.91
Ga (0.0000, 0.1170, 0.3830)  1 Ga 2.65, 6 Mg 2.78-2.91
Ga (0.0000, 0.6170, 0.1170)  1 Ga 2.65, 6 Mg 2.78-2.91
Ga (0.0000, 0.8830, 0.6170)  1 Ga 2.65, 6 Mg 2.78-2.91

- DOS(E_F) (states/eV per cell) = 3.30
- SG = No. 127

=====

(2)
Entry from Alexandria via LeMat-Bulk: an optimized crystal structure of Mg2Ga2Sn (GGA-PBEsol).

abc: 4.2990 4.2990 6.5868
angles: 109.05 109.05 90.00
Last column: nearest neighbours and their distance in Å.
Sites, in units of the cell vectors:
Mg (0.7500, 0.2500, 0.5000)  4 Ga 2.76, 4 Mg 3.04
Mg (0.2500, 0.7500, 0.5000)  4 Ga 2.76, 4 Mg 3.04
Ga (0.3980, 0.3980, 0.7959)  1 Ga 2.38
Ga (0.6020, 0.6020, 0.2041)  1 Ga 2.38
Sn (0.0000, 0.0000, 0.0000)  8 Ga 3.27, 8 Mg 3.63

- DOS(E_F) (states/eV per cell) = 1.81
- SG = No. 139

=====

Relative to the most stable one, in eV/atom, the structures come out at (1) 0.000; (2) 0.100.

=====

(1)
Entry from Alexandria via LeMat-Bulk: an optimized crystal structure of MgGaSn2 (GGA-PBEsol).

abc: 5.0606 5.0606 5.0606
angles: 60.00 60.00 60.00
Last column: nearest neighbours and their distance in Å.
Sites, in units of the cell vectors:
Sn (0.7500, 0.7500, 0.7500)  4 Ga 3.10, 4 Mg 3.10
Sn (0.2500, 0.2500, 0.2500)  4 Mg 3.10, 4 Ga 3.10
Mg (0.0000, 0.0000, 0.0000)  8 Sn 3.10
Ga (0.5000, 0.5000, 0.5000)  8 Sn 3.10

- DOS(E_F) (states/eV per cell) = 2.11
- SG = No. 225

=====

(2)
Entry from Alexandria via LeMat-Bulk: an optimized crystal structure of MgGaSn2 (GGA-PBEsol).

abc: 5.9810 6.3964 6.3964
angles: 77.37 62.13 62.13
Last column: nearest neighbours and their distance in Å.
Sites, in units of the cell vectors:
Sn (0.3750, 0.5384, 0.9616)  2 Ga 2.72
Sn (0.6634, 0.9616, 0.4616)  2 Ga 2.72
Sn (0.0866, 0.0384, 0.5384)  2 Ga 2.72
Sn (0.8750, 0.4616, 0.0384)  2 Ga 2.72
Mg (0.2500, 0.5000, 0.5000)  2 Ga 2.99, 4 Sn 3.14
Mg (0.5000, 0.0000, 0.0000)  2 Ga 2.99, 4 Sn 3.14
Ga (0.0000, 0.0000, 0.0000)  4 Sn 2.72, 2 Mg 2.99
Ga (0.7500, 0.5000, 0.5000)  4 Sn 2.72, 2 Mg 2.99

- DOS(E_F) (states/eV per cell) = 4.32
- SG = No. 122

=====

Relative to the most stable one, in eV/atom, the structures come out at (1) 0.000; (2) 0.009.

=====

(1)
Entry from Alexandria via LeMat-Bulk: an optimized crystal structure of MgZn2Ga2 (GGA-PBEsol).

abc: 3.3438 7.2059 7.2059
angles: 90.00 90.00 90.00
Last column: nearest neighbours and their distance in Å.
Sites, in units of the cell vectors:
Ga (0.5000, 0.1775, 0.6775)  6 Zn 2.63-2.76
Ga (0.5000, 0.3225, 0.1775)  6 Zn 2.63-2.76
Ga (0.5000, 0.8225, 0.3225)  6 Zn 2.63-2.76
Ga (0.5000, 0.6775, 0.8225)  6 Zn 2.63-2.76
Mg (0.0000, 0.5000, 0.5000)  4 Zn 2.86, 8 Ga 3.14
Mg (0.0000, 0.0000, 0.0000)  4 Zn 2.86, 8 Ga 3.14
Zn (0.0000, 0.6231, 0.1231)  1 Zn 2.51, 6 Ga 2.63-2.76
Zn (0.0000, 0.1231, 0.3769)  1 Zn 2.51, 6 Ga 2.63-2.76
Zn (0.0000, 0.3769, 0.8769)  1 Zn 2.51, 6 Ga 2.63-2.76
Zn (0.0000, 0.8769, 0.6231)  1 Zn 2.51, 6 Ga 2.63-2.76

- DOS(E_F) (states/eV per cell) = 2.99
- SG = No. 127

=====

(2)
Entry from Alexandria via LeMat-Bulk: an optimized crystal structure of MgZn2Ga2 (GGA-PBEsol).

abc: 3.9179 3.9179 6.2950
angles: 108.13 108.13 90.00
Last column: nearest neighbours and their distance in Å.
Sites, in units of the cell vectors:
Zn (0.7500, 0.2500, 0.5000)  4 Ga 2.54, 4 Zn 2.77
Zn (0.2500, 0.7500, 0.5000)  4 Ga 2.54, 4 Zn 2.77
Ga (0.3931, 0.3931, 0.7861)  1 Ga 2.42, 4 Zn 2.54
Ga (0.6069, 0.6069, 0.2139)  1 Ga 2.42, 4 Zn 2.54
Mg (0.0000, 0.0000, 0.0000)  8 Ga 3.02

- DOS(E_F) (states/eV per cell) = 1.30
- SG = No. 139

=====

Relative to the most stable one, in eV/atom, the structures come out at (1) 0.061; (2) 0.000.

=====

(1)
Entry from Alexandria via LeMat-Bulk: an optimized crystal structure of Nb2Ga2Mo (GGA-PBEsol).

abc: 3.3918 3.3918 7.7981
angles: 102.56 102.56 90.00
Last column: nearest neighbours and their distance in Å.
Sites, in units of the cell vectors:
Nb (0.4025, 0.4025, 0.8050)  4 Mo 2.80, 4 Ga 2.83, 1 Nb 2.89
Nb (0.5975, 0.5975, 0.1950)  4 Mo 2.80, 4 Ga 2.83, 1 Nb 2.89
Ga (0.7500, 0.2500, 0.5000)  4 Ga 2.40
Ga (0.2500, 0.7500, 0.5000)  4 Ga 2.40
Mo (0.0000, 0.0000, 0.0000)  8 Nb 2.80

- DOS(E_F) (states/eV per cell) = 3.91
- SG = No. 139

=====

(2)
Entry from Alexandria via LeMat-Bulk: an optimized crystal structure of Nb2Ga2Mo (GGA-PBEsol).

abc: 3.5123 6.7288 6.7288
angles: 90.00 90.00 90.00
Last column: nearest neighbours and their distance in Å.
Sites, in units of the cell vectors:
Ga (0.0000, 0.6284, 0.1284)  1 Ga 2.44, 6 Nb 2.57-2.71, 2 Mo 2.65
Ga (0.0000, 0.3716, 0.8716)  1 Ga 2.44, 6 Nb 2.57-2.71, 2 Mo 2.65
Ga (0.0000, 0.8716, 0.6284)  1 Ga 2.44, 6 Nb 2.57-2.71, 2 Mo 2.65
Ga (0.0000, 0.1284, 0.3716)  1 Ga 2.44, 6 Nb 2.57-2.71, 2 Mo 2.65
Nb (0.5000, 0.6743, 0.8257)  6 Ga 2.57-2.71
Nb (0.5000, 0.3257, 0.1743)  6 Ga 2.57-2.71
Nb (0.5000, 0.1743, 0.6743)  6 Ga 2.57-2.71
Nb (0.5000, 0.8257, 0.3257)  6 Ga 2.57-2.71
Mo (0.0000, 0.5000, 0.5000)  4 Ga 2.65
Mo (0.0000, 0.0000, 0.0000)  4 Ga 2.65

- DOS(E_F) (states/eV per cell) = 3.27
- SG = No. 127

=====

Relative to the most stable one, in eV/atom, the structures come out at (1) 0.503; (2) 0.000.

=====

(1)
Entry from Alexandria via LeMat-Bulk: an optimized crystal structure of GaTc3Mo (GGA-PBEsol).

abc: 4.5841 4.5841 4.5841
angles: 90.00 90.00 90.00
Last column: nearest neighbours and their distance in Å.
Sites, in units of the cell vectors:
Tc (0.5000, 0.0000, 0.0000)  2 Mo 2.29
Tc (0.0000, 0.0000, 0.5000)  2 Mo 2.29
Tc (0.0000, 0.5000, 0.0000)  2 Mo 2.29
Ga (0.5000, 0.5000, 0.5000)  12 Tc 3.24
Mo (0.0000, 0.0000, 0.0000)  6 Tc 2.29

- DOS(E_F) (states/eV per cell) = 6.17
- SG = No. 221

=====

(2)
Entry from Alexandria via LeMat-Bulk: an optimized crystal structure of GaTc3Mo (GGA-PBEsol).

abc: 4.3822 4.3822 4.3822
angles: 90.00 90.00 90.00
Last column: nearest neighbours and their distance in Å.
Sites, in units of the cell vectors:
Tc (0.5000, 0.0000, 0.0000)  2 Ga 2.19
Tc (0.0000, 0.0000, 0.5000)  2 Ga 2.19
Tc (0.0000, 0.5000, 0.0000)  2 Ga 2.19
Mo (0.5000, 0.5000, 0.5000)  12 Tc 3.10
Ga (0.0000, 0.0000, 0.0000)  6 Tc 2.19

- DOS(E_F) (states/eV per cell) = 4.95
- SG = No. 221

=====

Relative to the most stable one, in eV/atom, the structures come out at (1) 0.170; (2) 0.000.